[1]
The following is a DFT calculation (PBE) of a relaxed structure of HfCu3S4.

Calculated values
The value obtained for the total magnetization is 0.0 Bohr magnetons per cell. The calculated density is 5.69 g/cm3. The calculation puts the volume at 145.3 Å³ per cell. For the formation energy from raw total energies, the calculation gives -0.665 eV/atom. As for the symmetry: Amm2. The uncorrected energy is -44.07 eV/cell.

Unit cell a=3.748 b=6.238 c=6.238 alpha=95.00 beta=90.00 gamma=90.00
Atoms (fractional coordinates):
S 0.000 0.845 0.747
S 0.500 0.747 0.253
S 0.500 0.352 0.648
S 0.000 0.253 0.155
Hf 0.000 0.543 0.457
Cu 0.500 0.395 0.024
Cu 0.500 0.976 0.605
Cu 0.000 0.887 0.113

[2]
The following is a DFT calculation (PBE) of a relaxed structure of AlAsIr2.

Calculated values
The value obtained for the total magnetization is 0.0 Bohr magnetons per cell. The calculated density is 13.09 g/cm3. The calculation puts the volume at 61.7 Å³ per cell. As for the symmetry: R3m. As for the formation energy: -0.045 eV/atom. The uncorrected energy is -26.30 eV/cell.

Unit cell a=8.280 b=8.280 c=8.280 alpha=20.63 beta=20.63 gamma=20.63
Atoms (fractional coordinates):
As 0.747 0.747 0.747
Ir 0.005 0.005 0.005
Ir 0.244 0.244 0.244
Al 0.503 0.503 0.503

[3]
The following is a DFT calculation (PBE) of a relaxed structure of ScAl2AuCl.

Calculated values
The value obtained for the total magnetization is 0.6 Bohr magnetons per cell. The calculated density is 4.38 g/cm3. The calculation puts the volume at 125.5 Å³ per cell. For the formation energy from raw total energies, the calculation gives -0.188 eV/atom. As for the symmetry: P4/mmm. The uncorrected energy is -19.88 eV/cell.

Unit cell a=4.729 b=5.611 c=4.729 alpha=90.00 beta=90.00 gamma=90.00
Last column: magnetic moment on the atom in μB.
Atoms (fractional coordinates):
Sc 0.000 0.500 0.000  0.36
Au 0.000 0.000 0.000  0.01
Al 0.000 0.000 0.500  0.00
Al 0.500 0.000 0.000  0.00
Cl 0.500 0.500 0.500  0.00

[4]
The following is a DFT calculation (PBE) of a relaxed structure of Li2MgRe.

Calculated values
The value obtained for the total magnetization is 1.1 Bohr magnetons per cell. The calculated density is 5.88 g/cm3. The calculation puts the volume at 63.4 Å³ per cell. As for the symmetry: I4/mmm. As for the formation energy: 0.675 eV/atom. The uncorrected energy is -15.17 eV/cell.

Unit cell a=5.021 b=5.021 c=5.021 alpha=134.52 beta=134.52 gamma=66.27
Last column: magnetic moment on the atom in μB.
Atoms (fractional coordinates):
Li 0.000 0.000 0.000  -0.01
Li 0.500 0.500 0.000  -0.01
Mg 0.250 0.750 0.500  -0.01
Re 0.750 0.250 0.500  0.95

[5]
The following is a DFT calculation (PBE) of a relaxed structure of RbCoTeI2.

Calculated values
The value obtained for the total magnetization is 2.5 Bohr magnetons per cell. The calculated density is 5.07 g/cm3. The calculation puts the volume at 172.3 Å³ per cell. For the formation energy from raw total energies, the calculation gives -0.329 eV/atom. As for the symmetry: P4/mmm. The uncorrected energy is -15.96 eV/cell.

Unit cell a=5.878 b=5.878 c=4.986 alpha=90.00 beta=90.00 gamma=90.00
Last column: magnetic moment on the atom in μB.
Atoms (fractional coordinates):
I 0.000 0.500 0.000  0.05
I 0.500 0.000 0.000  0.05
Te 0.000 0.000 0.500  0.28
Co 0.000 0.000 0.000  1.83
Rb 0.500 0.500 0.500  0.00

[6]
The following is a DFT calculation (PBE) of a relaxed structure of Ac6NiPdRu2.

Calculated values
The value obtained for the total magnetization is 0.0 Bohr magnetons per cell. The calculated density is 8.75 g/cm3. The calculation puts the volume at 328.2 Å³ per cell. As for the symmetry: P1. As for the formation energy: -0.286 eV/atom. The uncorrected energy is -57.04 eV/cell.

Unit cell a=7.454 b=7.454 c=8.071 alpha=62.47 beta=62.48 gamma=59.90
Atoms (fractional coordinates):
Ac 0.578 0.260 0.248
Ac 0.258 0.915 0.248
Ac 0.915 0.579 0.248
Ac 0.403 0.750 0.754
Ac 0.752 0.092 0.754
Ac 0.093 0.403 0.754
Ni 0.338 0.337 0.987
Pd 0.835 0.836 0.494
Ru 0.497 0.497 0.509
Ru 0.993 0.993 0.020

[7]
The following is a DFT calculation (PBE) of a relaxed structure of ZrTiFeAu2.

Calculated values
The value obtained for the total magnetization is 2.3 Bohr magnetons per cell. The calculated density is 9.41 g/cm3. The calculation puts the volume at 104.0 Å³ per cell. As for the symmetry: P4/mmm. As for the formation energy: 0.531 eV/atom. The uncorrected energy is -28.80 eV/cell.

Unit cell a=4.883 b=4.360 c=4.883 alpha=90.00 beta=90.00 gamma=90.00
Last column: magnetic moment on the atom in μB.
Atoms (fractional coordinates):
Au 0.000 0.000 0.500  0.00
Au 0.500 0.000 0.000  0.02
Fe 0.000 0.000 0.000  0.02
Zr 0.000 0.500 0.000  0.13
Ti 0.500 0.500 0.500  1.60

[8]
The following is a DFT calculation (PBE) of a relaxed structure of CsBaLiCl4.

Calculated values
The value obtained for the total magnetization is 0.0 Bohr magnetons per cell. The calculated density is 3.00 g/cm3. The calculation puts the volume at 464.2 Å³ per cell. For the formation energy from raw total energies, the calculation gives -2.168 eV/atom. As for the symmetry: P2_1/m. The uncorrected energy is -54.50 eV/cell.

Unit cell a=7.214 b=7.117 c=9.515 alpha=90.00 beta=108.15 gamma=90.00
Atoms (fractional coordinates):
Cs 0.724 0.750 0.933
Cs 0.276 0.250 0.067
Ba 0.769 0.750 0.448
Ba 0.231 0.250 0.552
Li 0.220 0.750 0.314
Li 0.780 0.250 0.686
Cl 0.001 0.499 0.718
Cl 0.999 0.999 0.282
Cl 0.999 0.501 0.282
Cl 0.001 0.001 0.718
Cl 0.418 0.750 0.160
Cl 0.582 0.250 0.840
Cl 0.413 0.750 0.565
Cl 0.587 0.250 0.435

[9]
The following is a DFT calculation (PBE) of a relaxed structure of CsZnSbH2.

Calculated values
The value obtained for the total magnetization is 0.0 Bohr magnetons per cell. The calculated density is 4.36 g/cm3. The calculation puts the volume at 245.2 Å³ per cell. As for the symmetry: Cm. The uncorrected energy is -27.78 eV/cell.

Unit cell a=7.019 b=4.680 c=8.093 alpha=90.00 beta=112.74 gamma=90.00
Atoms (fractional coordinates):
Cs 0.259 0.000 0.076
Cs 0.259 0.500 0.576
Zn 0.698 0.000 0.889
Zn 0.698 0.500 0.389
Sb 0.710 0.000 0.560
Sb 0.710 0.500 0.060
H 0.134 0.000 0.368
H 0.134 0.500 0.868
H 0.016 0.000 0.326
H 0.016 0.500 0.826

[10]
The following is a DFT calculation (PBE) of a relaxed structure of PrNdSm2Dy4.

Calculated values
The value obtained for the total magnetization is 4.9 Bohr magnetons per cell. The calculated density is 7.55 g/cm3. The calculation puts the volume at 543.4 Å³ per cell. As for the symmetry: C2/c. As for the formation energy: 0.408 eV/atom. The uncorrected energy is -68.27 eV/cell.

Unit cell a=9.567 b=9.567 c=11.902 alpha=128.46 beta=128.46 gamma=88.26
Last column: magnetic moment on the atom in μB.
Atoms (fractional coordinates):
Pr 0.500 0.500 0.500  0.16
Pr 0.000 0.000 0.000  0.16
Nd 0.000 0.500 0.000  0.18
Nd 0.000 0.500 0.500  0.18
Sm 0.500 0.000 0.000  0.18
Sm 0.500 0.000 0.500  0.18
Sm 0.000 0.000 0.500  0.19
Sm 0.500 0.500 0.000  0.19
Dy 0.252 0.749 0.000  0.22
Dy 0.751 0.248 0.500  0.22
Dy 0.249 0.752 0.500  0.22
Dy 0.748 0.251 0.000  0.22
Dy 0.751 0.752 0.003  0.22
Dy 0.748 0.749 0.497  0.22
Dy 0.252 0.251 0.503  0.22
Dy 0.249 0.248 0.997  0.22

[11]
The following is a DFT calculation (PBE) of a relaxed structure of Al2Cu5Si.

Calculated values
The value obtained for the total magnetization is 0.0 Bohr magnetons per cell. The calculated density is 6.48 g/cm3. The calculation puts the volume at 102.4 Å³ per cell. For the formation energy from raw total energies, the calculation gives -0.092 eV/atom. As for the symmetry: I4/mmm. The uncorrected energy is -34.13 eV/cell.

Unit cell a=7.639 b=7.639 c=7.639 alpha=151.33 beta=151.33 gamma=41.00
Atoms (fractional coordinates):
Al 0.252 0.252 0.000
Al 0.748 0.748 0.000
Cu 0.500 0.500 0.000
Cu 0.623 0.123 0.500
Cu 0.123 0.623 0.500
Cu 0.377 0.877 0.500
Cu 0.877 0.377 0.500
Si 0.000 0.000 0.000

[12]
The following is a DFT calculation (PBE) of a relaxed structure of CdIn6Hg9.

Calculated values
The value obtained for the total magnetization is 0.0 Bohr magnetons per cell. The calculated density is 10.09 g/cm3. The calculation puts the volume at 428.9 Å³ per cell. As for the symmetry: P-1. As for the formation energy: 0.015 eV/atom. The uncorrected energy is -19.83 eV/cell.

Unit cell a=7.117 b=8.543 c=13.228 alpha=131.41 beta=130.57 gamma=76.70
Atoms (fractional coordinates):
Cd 0.000 0.000 0.000
In 0.720 0.845 0.041
In 0.280 0.155 0.959
In 0.703 0.248 0.804
In 0.297 0.752 0.196
In 0.707 0.701 0.576
In 0.293 0.299 0.424
Hg 0.129 0.985 0.436
Hg 0.127 0.495 0.228
Hg 0.832 0.493 0.327
Hg 0.595 0.119 0.282
Hg 0.871 0.015 0.564
Hg 0.873 0.505 0.772
Hg 0.168 0.507 0.673
Hg 0.405 0.881 0.718
Hg 0.500 0.500 0.000